Entry 1:
Material: Ce2Si4Ni3Pd
Method: DFT, PBE
State: optimized geometry

The space group is P-4m2 (No. 115) and the conventional cell measures 4.063, 4.063 and 9.637 Å, with angles of 90.00, 90.00 and 90.00 degrees. The inequivalent atoms are Ce at (0.000, 0.500, 0.243), Si at (0.000, 0.000, 0.000), Si at (0.000, 0.500, 0.639), Si at (0.500, 0.500, 0.000), Ni at (0.000, 0.500, 0.880), Ni at (0.500, 0.500, 0.500) and Pd at (0.000, 0.000, 0.500).

The formation energy without anion corrections comes out at -0.8377 eV per atom. As for the total magnetization: 0.0 Bohr magnetons per cell. The density of states at the Fermi level comes out at 7.7 states/eV per cell. As for the volume: 15.91 A^3/atom. For the total energy, the calculation gives -6.45 eV per atom.


Entry 2:
Material: PmEr3Zn8
Method: DFT, PBE
State: optimized geometry

The space group is P3m1 (No. 156) and the conventional cell measures 5.5345, 5.5345 and 8.6779 Å, with angles of 90.00, 90.00 and 120.00 degrees. The inequivalent atoms are Pm at (0.0000, 0.0000, 0.0000), Er at (0.0000, 0.0000, 0.3846), Er at (0.6667, 0.3333, 0.5060), Er at (0.6667, 0.3333, 0.8884), Zn at (0.1653, 0.3307, 0.6902), Zn at (0.3333, 0.6667, 0.4436), Zn at (0.3333, 0.6667, 0.9454) and Zn at (0.5026, 0.0052, 0.1972).

As for the total magnetization: 0.0 Bohr magnetons per cell. The density of states at the Fermi level comes out at 8.2 states/eV per cell. As for the volume: 19.18 A^3/atom. For the total energy, the calculation gives -2.70 eV per atom.


Entry 3:
Material: Y2Zn16Si
Method: DFT, PBE
State: optimized geometry

The space group is R3m (No. 160, hexagonal axes) and the conventional cell measures 9.0537, 9.0537 and 12.9577 Å, with angles of 90.00, 90.00 and 120.00 degrees. The inequivalent atoms are Y at (0.0000, 0.0000, 0.0000), Y at (0.0000, 0.0000, 0.3347), Zn at (0.0000, 0.0000, 0.5768), Zn at (0.9996, 0.3063, 0.6683), Zn at (0.0076, 0.5038, 0.1680), Zn at (0.0100, 0.5050, 0.8241), Zn at (0.1720, 0.3440, 0.8464) and Si at (0.0000, 0.0000, 0.7714).

The formation energy without anion corrections comes out at -0.2029 eV per atom. As for the total magnetization: 0.0 Bohr magnetons per cell. The density of states at the Fermi level comes out at 23.1 states/eV per cell. As for the volume: 16.14 A^3/atom. For the total energy, the calculation gives -2.24 eV per atom.


Entry 4:
Material: GaIr2Rh2
Method: DFT, PBE
State: optimized geometry

The space group is P4/mbm (No. 127) and the conventional cell measures 6.391, 6.391 and 3.860 Å, with angles of 90.00, 90.00 and 90.00 degrees. The inequivalent atoms are Ga at (0.000, 0.000, 0.000), Ir at (0.138, 0.362, 0.000) and Rh at (0.152, 0.652, 0.500).

As for the total magnetization: 0.0 Bohr magnetons per cell. The density of states at the Fermi level comes out at 9.6 states/eV per cell. As for the volume: 15.77 A^3/atom. For the total energy, the calculation gives -6.99 eV per atom.


Entry 5:
Material: CdInPO2
Method: DFT, PBE
State: optimized geometry

The space group is P4/mmm (No. 123) and the conventional cell measures 4.079, 4.079 and 5.646 Å, with angles of 90.00, 90.00 and 90.00 degrees. The inequivalent atoms are Cd at (0.000, 0.000, 0.000), In at (0.500, 0.500, 0.500), P at (0.500, 0.500, 0.000) and O at (0.000, 0.500, 0.500).

The formation energy without anion corrections comes out at -0.0450 eV per atom. As for the total magnetization: 1.6 Bohr magnetons per cell. The density of states at the Fermi level comes out at 4.5 states/eV per cell. As for the volume: 18.79 A^3/atom. For the total energy, the calculation gives -3.84 eV per atom. For the energy above the most stable polymorph in this dataset, the calculation gives 0.0000 eV per atom.


Entry 6:
Material: Be9VFe2
Method: DFT, PBE
State: optimized geometry

The space group is R-3m (No. 166, hexagonal axes) and the conventional cell measures 4.2217, 4.2217 and 20.2279 Å, with angles of 90.00, 90.00 and 120.00 degrees. The inequivalent atoms are Be at (0.0000, 0.0000, 0.0000), Be at (0.0000, 0.0000, 0.1665), Be at (0.0044, 0.5022, 0.4150), V at (0.0000, 0.0000, 0.5000) and Fe at (0.0000, 0.0000, 0.3551).

As for the total magnetization: 13.9 Bohr magnetons per cell. The density of states at the Fermi level comes out at 14.5 states/eV per cell. As for the volume: 8.67 A^3/atom. For the total energy, the calculation gives -5.15 eV per atom.


Entry 7:
Material: K3CePu2S6
Method: DFT, PBE
State: optimized geometry

The space group is C2/m (No. 12) and the conventional cell measures 7.178, 12.433 and 7.718 Å, with angles of 90.00, 108.06 and 90.00 degrees. The inequivalent atoms are K at (0.000, 0.000, 0.000), K at (0.000, 0.333, 0.000), Ce at (0.000, 0.500, 0.500), Pu at (0.000, 0.167, 0.500), S at (0.231, 0.000, 0.702) and S at (0.235, 0.332, 0.702).

The formation energy without anion corrections comes out at -1.6647 eV per atom. As for the total magnetization: 22.0 Bohr magnetons per cell. The density of states at the Fermi level comes out at 51.6 states/eV per cell. As for the volume: 27.28 A^3/atom. For the total energy, the calculation gives -6.89 eV per atom.


Entry 8:
Material: BaSrCdIr
Method: DFT, PBE
State: optimized geometry

The space group is P3m1 (No. 156) and the conventional cell measures 5.2730, 5.2730 and 5.5007 Å, with angles of 90.00, 90.00 and 120.00 degrees. The inequivalent atoms are Ba at (0.0000, 0.0000, 0.0000), Sr at (0.6667, 0.3333, 0.6136), Cd at (0.3333, 0.6667, 0.3153) and Ir at (0.3333, 0.6667, 0.8114).

As for the total magnetization: 0.0 Bohr magnetons per cell. The density of states at the Fermi level comes out at 2.2 states/eV per cell. As for the volume: 33.11 A^3/atom. For the total energy, the calculation gives -3.56 eV per atom. For the energy above the most stable polymorph in this dataset, the calculation gives 0.0000 eV per atom.